VASP calculation (PBE) on a relaxed CeThMg2 crystal.

Results
The calculation puts the density of states at the Fermi level at 13.8 states/eV per cell. The energy of formation from the pure elements is 79 meV per atom. The calculation puts the total magnetic moment at 0.59 μB per formula unit. The calculation puts the energy above the most stable polymorph in this dataset at 8 meV/atom. Its space group is P2_1/m, No. 11. The uncorrected energy is -32.45 eV per cell.

Lattice parameters (Å, degrees): 6.0706 5.4283 6.5564 90.00 90.06 90.00
Sites, in units of the cell vectors:
Ce (0.1266, 0.2500, 0.9995)
Ce (0.8734, 0.7500, 0.0005)
Th (0.1361, 0.2500, 0.4998)
Th (0.8639, 0.7500, 0.5002)
Mg (0.3598, 0.7500, 0.2471)
Mg (0.3599, 0.7500, 0.7533)
Mg (0.6401, 0.2500, 0.2467)
Mg (0.6402, 0.2500, 0.7529)

VASP calculation (PBE) on a relaxed CeTh2Mg crystal.

Results
The calculation puts the density of states at the Fermi level at 11.4 states/eV per cell. The energy of formation from the pure elements is 65 meV per atom. The calculation puts the total magnetic moment at 0.00 μB per formula unit. The calculation puts the energy above the most stable polymorph in this dataset at 0 meV/atom. Its space group is P2_1/m, No. 11. The uncorrected energy is -44.21 eV per cell.

Lattice parameters (Å, degrees): 3.4224 3.4223 20.0728 90.00 90.01 90.00
Sites, in units of the cell vectors:
Ce (0.2494, 0.2500, 0.4417)
Ce (0.7506, 0.7500, 0.5583)
Th (0.2515, 0.2500, 0.6837)
Th (0.2509, 0.2500, 0.9335)
Th (0.7491, 0.7500, 0.0665)
Th (0.7485, 0.7500, 0.3163)
Mg (0.2478, 0.2500, 0.1919)
Mg (0.7522, 0.7500, 0.8081)

VASP calculation (PBE) on a relaxed Ce12Th3Mg crystal.

Results
The calculation puts the density of states at the Fermi level at 38.1 states/eV per cell. The energy of formation from the pure elements is 37 meV per atom. The calculation puts the total magnetic moment at 3.56 μB per formula unit. Its space group is P4/mmm, No. 123. The uncorrected energy is -94.48 eV per cell.

Lattice parameters (Å, degrees): 4.8062 4.8062 19.2754 90.00 90.00 90.00
Sites, in units of the cell vectors:
Ce (0.0000, 0.0000, 0.0000)
Ce (0.0000, 0.0000, 0.2486)
Ce (0.0000, 0.0000, 0.5000)
Ce (0.0000, 0.0000, 0.7514)
Ce (0.0000, 0.5000, 0.1252)
Ce (0.0000, 0.5000, 0.3758)
Ce (0.0000, 0.5000, 0.6242)
Ce (0.0000, 0.5000, 0.8748)
Ce (0.5000, 0.0000, 0.1252)
Ce (0.5000, 0.0000, 0.3758)
Ce (0.5000, 0.0000, 0.6242)
Ce (0.5000, 0.0000, 0.8748)
Th (0.5000, 0.5000, 0.0000)
Th (0.5000, 0.5000, 0.2515)
Th (0.5000, 0.5000, 0.7485)
Mg (0.5000, 0.5000, 0.5000)